This record from Alexandria via LeMat-Bulk describes a geometry-optimized KMoAu2O structure. The functional is PBE with a Hubbard U.

Its symmetry is P4/mmm. The magnetization is 4.0 μB/f.u. The calculation puts the total DFT energy (no corrections) at -2.73 eV per atom.

a = 5.594 Å, b = 5.594 Å, c = 4.219 Å
α = 90.00°, β = 90.00°, γ = 90.00°
Positions (direct):
K 0.000 0.000 0.000
Mo 0.500 0.500 0.500
Au 0.000 0.500 0.000
Au 0.500 0.000 0.000
O 0.000 0.000 0.500